Entry 1:
Density functional theory data (PBE-GGA) for a geometry-optimized CrAs3 structure.

Values from the calculation:
- Energy above the most stable polymorph in this dataset: 390 meV per atom
- Crystal system: cubic

Unit cell a=4.1739 b=4.1739 c=4.1739 alpha=90.00 beta=90.00 gamma=90.00
Last column: nearest neighbours and their distance in Å.
Space group Pm-3m (No. 221)
Asymmetric unit:
1 Cr 0.0000 0.0000 0.0000 (multiplicity 1)  12 As 2.95
2 As 0.0000 0.5000 0.5000 (multiplicity 3)  4 Cr 2.95, 8 As 2.95

---

Entry 2:
Density functional theory data (PBE-GGA) for a geometry-optimized CrAs3 structure.

Values from the calculation:
- Energy above the most stable polymorph in this dataset: 356 meV per atom
- Crystal system: cubic

Unit cell a=5.2126 b=5.2126 c=5.2126 alpha=90.00 beta=90.00 gamma=90.00
Last column: nearest neighbours and their distance in Å.
Space group Pm-3n (No. 223)
Asymmetric unit:
1 Cr 0.0000 0.0000 0.0000 (multiplicity 2)  12 As 2.91
2 As 0.0000 0.2500 0.5000 (multiplicity 6)  2 As 2.61, 4 Cr 2.91

---

Entry 3:
Density functional theory data (PBE-GGA) for a geometry-optimized CrAs3 structure.

Values from the calculation:
- Energy above the most stable polymorph in this dataset: 43 meV per atom
- Crystal system: orthorhombic

Unit cell a=6.0220 b=7.6887 c=5.9298 alpha=90.00 beta=90.00 gamma=90.00
Last column: nearest neighbours and their distance in Å.
Space group Pnma (No. 62)
Asymmetric unit:
1 Cr 0.1540 0.2500 0.0328 (multiplicity 4)  8 As 2.50-2.65
2 As 0.0384 0.2500 0.6264 (multiplicity 4)  2 Cr 2.50-2.51, 2 As 2.55
3 As 0.1976 0.5722 0.8815 (multiplicity 8)  2 As 2.55-2.73, 3 Cr 2.57-2.65

---

Entry 4:
Density functional theory data (PBE-GGA) for a geometry-optimized CrAs5 structure.

Values from the calculation:
- Energy above the most stable polymorph in this dataset: 460 meV per atom
- Crystal system: hexagonal

Unit cell a=5.4309 b=5.4309 c=4.9458 alpha=90.00 beta=90.00 gamma=120.00
Last column: nearest neighbours and their distance in Å.
Space group P6/mmm (No. 191)
Asymmetric unit:
1 Cr 0.0000 0.0000 0.0000 (multiplicity 1)  6 As 3.14
2 As 0.0000 0.5000 0.5000 (multiplicity 3)  8 As 2.72-2.93
3 As 0.3333 0.6667 0.0000 (multiplicity 2)  9 As 2.93-3.14, 3 Cr 3.14

---

Entry 5:
Density functional theory data (PBE-GGA) for a geometry-optimized CrAs3 structure.

Values from the calculation:
- Energy above the most stable polymorph in this dataset: 218 meV per atom
- Crystal system: hexagonal

Unit cell a=3.3687 b=3.3687 c=7.0012 alpha=90.00 beta=90.00 gamma=120.00
Last column: nearest neighbours and their distance in Å.
Space group P-6m2 (No. 187)
Asymmetric unit:
1 Cr 0.0000 0.0000 0.0000 (multiplicity 1)  6 As 2.47
2 As 0.0000 0.0000 0.5000 (multiplicity 1)  6 As 2.77
3 As 0.3333 0.6667 0.2174 (multiplicity 2)  3 Cr 2.47

---

Entry 6:
Density functional theory data (PBE-GGA) for a geometry-optimized CrAs structure.

Values from the calculation:
- Crystal system: trigonal

Unit cell a=3.9835 b=3.9835 c=13.3492 alpha=90.00 beta=90.00 gamma=120.00
Last column: nearest neighbours and their distance in Å.
Space group R-3m (No. 166, hexagonal axes)
Asymmetric unit:
1 Cr 0.0000 0.0000 0.1843 (multiplicity 6)  3 Cr 2.35, 3 As 2.56
2 As 0.0000 0.0000 0.3977 (multiplicity 6)  7 Cr 2.56-2.85, 1 As 2.73

---

| no. | formation enthalpy at 0 K (eV per atom) |
| --- | --- |
| 1 | 0.383 |
| 2 | 0.349 |
| 3 | 0.036 |
| 4 | 0.640 |
| 5 | 0.212 |
| 6 | 0.168 |